PBE CsNbCl2, optimized geometry; energy relative to the elements, uncorrected = -477 meV per atom; calculated volume = 37.830 Å³ per atom; distance to the lowest polymorph of the same formula = 0.0 meV per atom
1.0
6.237 0.000 0.000
0.000 6.237 0.000
3.118 3.118 7.781
Cs Nb Cl
2 2 4
direct
0.000 0.000 0.000
0.750 0.250 0.500
0.500 0.500 0.000
0.250 0.750 0.500
0.494 0.125 0.250
0.256 0.625 0.250
0.375 0.506 0.750
0.875 0.744 0.750



PBE LaPdRh2, optimized geometry; calculated volume = 18.106 Å³ per atom; DFT formation energy = -0.457 eV per atom
1.0
4.100 0.000 0.000
0.000 4.203 0.000
0.000 0.000 4.203
Rh Pd La
2 1 1
direct
0.000 0.000 0.500
0.000 0.500 0.000
0.500 0.000 0.000
0.500 0.500 0.500



PBE BaNdBi, optimized geometry; calculated volume = 37.089 Å³ per atom; distance to the lowest polymorph of the same formula = 0.0 meV per atom; DFT formation energy = -0.517 eV per atom
1.0
4.808 0.000 0.000
0.000 4.808 0.000
0.000 0.000 9.625
Ba Bi Nd
2 2 2
direct
0.000 0.000 0.000
0.500 0.500 0.000
0.000 0.500 0.297
0.500 0.000 0.703
0.000 0.500 0.634
0.500 0.000 0.366



PBE NaSr2CdO4, optimized geometry; energy relative to the elements, uncorrected = -1796 meV per atom; calculated volume = 15.563 Å³ per atom
1.0
-0.011 0.609 -3.574
-6.149 0.664 0.132
2.548 5.230 0.884
Na Sr Cd O
1 2 1 4
direct
0.500 0.500 0.000
0.500 0.000 0.500
0.000 0.500 0.500
0.000 0.000 0.000
0.500 0.247 0.243
0.500 0.753 0.757
0.000 0.236 0.756
0.000 0.764 0.244



PBE LiPuZnSb, optimized geometry; energy relative to the elements, uncorrected = -340 meV per atom; calculated volume = 22.816 Å³ per atom
1.0
-0.322 -2.757 -4.223
-3.526 -3.597 -0.407
-3.908 0.636 -3.141
Sb Zn Li Pu
1 1 1 1
direct
0.500 0.500 0.500
0.000 0.000 0.000
0.750 0.750 0.750
0.250 0.250 0.250



PBE PaGe3Ru3, optimized geometry; calculated volume = 21.105 Å³ per atom; DFT formation energy = 0.307 eV per atom
1.0
-2.857 -1.711 -5.768
0.482 -6.430 1.668
-5.997 0.298 2.882
Ru Ge Pa
6 6 2
direct
0.000 0.250 0.500
0.000 0.750 0.500
0.500 0.000 0.750
0.750 0.500 0.000
0.500 0.000 0.250
0.250 0.500 0.000
0.250 0.000 0.500
0.000 0.500 0.250
0.500 0.750 0.000
0.750 0.000 0.500
0.000 0.500 0.750
0.500 0.250 0.000
0.500 0.500 0.500
0.000 0.000 0.000



PBE CaCrSN2, optimized geometry; energy relative to the elements, uncorrected = 1970 meV per atom; calculated volume = 17.921 Å³ per atom; distance to the lowest polymorph of the same formula = 2369.3 meV per atom
1.0
4.112 0.000 0.000
0.000 4.112 0.000
0.000 0.000 5.299
Cr Ca S N
1 1 1 2
direct
0.500 0.500 0.500
0.000 0.000 0.000
0.000 0.000 0.500
0.000 0.500 0.000
0.500 0.000 0.000



PBE AlV3W, optimized geometry; calculated volume = 14.708 Å³ per atom; distance to the lowest polymorph of the same formula = 241.0 meV per atom; DFT formation energy = 0.140 eV per atom
1.0
-4.339 2.391 -4.202
-4.213 -5.348 -1.521
-5.130 2.601 3.947
Al V W
4 12 4
direct
0.815 0.403 0.795
0.685 0.205 0.597
0.185 0.597 0.205
0.315 0.795 0.403
0.574 0.692 0.020
0.926 0.980 0.308
0.426 0.308 0.980
0.074 0.020 0.692
0.974 0.327 0.085
0.526 0.915 0.673
0.026 0.673 0.915
0.474 0.085 0.327
0.442 0.606 0.700
0.058 0.300 0.394
0.558 0.394 0.300
0.942 0.700 0.606
0.250 0.985 0.015
0.750 0.015 0.985
0.250 0.325 0.675
0.750 0.675 0.325



PBE LiMnSi3, optimized geometry; energy relative to the elements, uncorrected = 202 meV per atom; calculated volume = 17.330 Å³ per atom; distance to the lowest polymorph of the same formula = 0.0 meV per atom
1.0
4.425 0.000 0.000
0.000 4.425 0.000
0.000 0.000 4.425
Si Mn Li
3 1 1
direct
0.000 0.500 0.000
0.000 0.000 0.500
0.500 0.000 0.000
0.000 0.000 0.000
0.500 0.500 0.500



Question: Which of these has the lowest calculated volume?
Answer: AlV3W



Question: Among the records above, which one has the highest calculated volume?
Answer: CsNbCl2